Record 1
First-principles (PBE-GGA) data for RbAs2IrS8 after structural relaxation, as listed in Alexandria.

abc: 5.9282 5.9282 10.3007
angles: 90.00 90.00 120.00
Last column: nearest neighbours and their distance in Å.
Atoms (fractional coordinates):
Rb 0.0000 0.0000 0.0000  6 S 3.57
As 0.3333 0.6667 0.6956  4 S 2.12-2.27
As 0.6667 0.3333 0.3044  4 S 2.12-2.27
Ir 0.0000 0.0000 0.5000  6 S 2.37
S 0.0385 0.6957 0.3667  1 As 2.27, 1 Ir 2.37
S 0.3043 0.3428 0.3667  1 As 2.27, 1 Ir 2.37
S 0.3333 0.6667 0.9018  1 As 2.12
S 0.3428 0.0385 0.6333  1 As 2.27, 1 Ir 2.37
S 0.6572 0.9615 0.3667  1 As 2.27, 1 Ir 2.37
S 0.6667 0.3333 0.0982  1 As 2.12
S 0.6957 0.6572 0.6333  1 As 2.27, 1 Ir 2.37
S 0.9615 0.3043 0.6333  1 As 2.27, 1 Ir 2.37

Its space group is P-3, No. 147. The uncorrected formation energy comes out at -140.6 meV/atom.



Record 2
First-principles (PBE-GGA) data for RbAsIrSe after structural relaxation, as listed in Alexandria.

abc: 3.6117 8.2081 8.2081
angles: 21.27 90.00 90.00
Last column: nearest neighbours and their distance in Å.
Atoms (fractional coordinates):
Rb 0.0000 0.0000 0.0000  2 Rb 3.03
As 0.5000 0.3403 0.3403  4 Ir 2.65
Ir 0.0000 0.7656 0.7656  2 Se 2.54, 4 As 2.65
Se 0.5000 0.6547 0.6547  2 Ir 2.54

Its space group is Amm2, No. 38. The uncorrected formation energy comes out at -163.2 meV/atom.



Record 3
First-principles (PBE-GGA) data for RbAsIrSe after structural relaxation, as listed in Alexandria.

abc: 3.8608 5.2198 6.5612
angles: 109.28 106.65 90.01
Last column: nearest neighbours and their distance in Å.
Atoms (fractional coordinates):
Rb 0.0000 0.0000 0.0000  3 Ir 3.47-3.79, 3 As 3.58, 2 Se 3.64-3.65, 2 Rb 3.86
As 0.3073 0.2020 0.6043  2 Ir 2.39, 1 Se 2.58
Ir 0.7652 0.4188 0.5180  2 As 2.39, 2 Se 2.52
Se 0.2231 0.6765 0.4312  2 Ir 2.52, 1 As 2.58

Its space group is P1, No. 1. The uncorrected formation energy comes out at -266.7 meV/atom.



Record 4
First-principles (PBE-GGA) data for RbAsIrSe after structural relaxation, as listed in Alexandria.

abc: 4.9663 3.8870 6.1402
angles: 90.00 104.21 90.00
Last column: nearest neighbours and their distance in Å.
Atoms (fractional coordinates):
Rb 0.0000 0.0000 0.0000  2 Ir 3.44-3.45, 2 Se 3.54, 2 As 3.60
As 0.2567 0.5000 0.6008  2 Ir 2.38, 1 Se 2.60
Ir 0.4840 0.0000 0.5104  2 As 2.38, 2 Se 2.54
Se 0.7374 0.5000 0.3837  2 Ir 2.54, 1 As 2.60

Its space group is Pm, No. 6. The uncorrected formation energy comes out at -279.3 meV/atom.



Record 5
First-principles (PBE-GGA) data for RbAsIrSe after structural relaxation, as listed in Alexandria.

abc: 7.6081 7.6081 7.6081
angles: 30.40 30.40 30.40
Last column: nearest neighbours and their distance in Å.
Atoms (fractional coordinates):
Rb 0.0000 0.0000 0.0000  3 As 3.40, 3 Se 3.44
As 0.4485 0.4485 0.4485  3 Ir 2.48
Ir 0.8243 0.8243 0.8243  3 As 2.48, 3 Se 2.63
Se 0.2160 0.2160 0.2160  3 Ir 2.63

Its space group is R3m, No. 160. The uncorrected formation energy comes out at -409.3 meV/atom.



Record 6
First-principles (PBE-GGA) data for RbAsIrSe after structural relaxation, as listed in Alexandria.

abc: 5.6259 5.6259 6.0925
angles: 108.39 108.39 40.95
Last column: nearest neighbours and their distance in Å.
Atoms (fractional coordinates):
Rb 0.0000 0.0000 0.0000  3 Se 3.63, 4 As 3.65-3.77, 4 Ir 3.70-3.74, 2 Rb 3.94
As 0.2157 0.2157 0.6351  2 Ir 2.36, 1 Se 2.59
Ir 0.5848 0.5848 0.5536  1 Se 2.32, 2 As 2.36
Se 0.3542 0.3542 0.3549  1 Ir 2.32, 1 As 2.59

Its space group is Cm, No. 8. The uncorrected formation energy comes out at -193.9 meV/atom.



Record 7
First-principles (PBE-GGA) data for RbAsIrSe after structural relaxation, as listed in Alexandria.

abc: 7.5322 7.5322 7.5322
angles: 30.82 30.82 30.82
Last column: nearest neighbours and their distance in Å.
Atoms (fractional coordinates):
Rb 0.0000 0.0000 0.0000  3 Se 3.39, 3 As 3.42
As 0.2160 0.2160 0.2160  3 Ir 2.49
Ir 0.5063 0.5063 0.5063  3 As 2.49, 3 Se 2.62
Se 0.7818 0.7818 0.7818  3 Ir 2.62

Its space group is R3m, No. 160. The uncorrected formation energy comes out at -407.3 meV/atom.



Record 8
First-principles (PBE-GGA) data for RbAsIrSe after structural relaxation, as listed in Alexandria.

abc: 7.1096 7.1096 7.1096
angles: 146.35 144.79 49.50
Last column: nearest neighbours and their distance in Å.
Atoms (fractional coordinates):
Rb 0.0000 0.0000 0.0000  4 Se 3.59, 4 As 3.70, 4 Ir 3.75-3.96
As 0.3302 0.3302 0.0000  2 Ir 2.35
Ir 0.2427 0.7427 0.5000  2 As 2.35, 2 Se 2.42
Se 0.6560 0.6560 0.0000  2 Ir 2.42

Its space group is Imm2, No. 44. The uncorrected formation energy comes out at -305.6 meV/atom.



Question: What is the uncorrected formation energy in the eighth record?
Answer: -305.6 meV/atom